Here is NaFeCu2F8 after structural relaxation from Alexandria via LeMat-Bulk. Energies are from PBE with a Hubbard U.

a b c (Å): 5.221 5.221 6.385
angles (deg): 114.13 114.13 90.00
Last column: magnetic moment on the atom in μB.
Positions (direct):
F  0.763  0.844  0.119  0.13
F  0.026  0.975  0.651  0.11
F  0.626  0.676  0.651  0.11
F  0.156  0.644  0.881  0.13
F  0.025  0.374  0.349  0.11
F  0.725  0.237  0.881  0.13
F  0.356  0.275  0.119  0.13
F  0.324  0.974  0.349  0.11
Fe  0.000  0.000  0.000  4.45
Cu  0.250  0.750  0.500  0.76
Cu  0.500  0.500  0.000  0.71
Na  0.750  0.250  0.500  0.00

- Electronic total energy: -4.438 eV per atom
- M_tot: 7.00 μB per cell
- Symmetry: I-4